Record 1
Entry from the Open Quantum Materials Database: a relaxed structure of NaCu3S2 (GGA-PBE).

Calculated values
- uncorrected energy (Ry per atom) = -0.2844

CIF file:
```
data_NaCu3S2
_chemical_formula_sum 'Na2 Cu6 S4'
_space_group_name_H-M_alt 'P 1'
_space_group_IT_number 1
_space_group_name_Hall 'P 1'
_cell_length_a 7.5087
_cell_length_b 7.5087
_cell_length_c 8.0060
_cell_angle_alpha 117.20
_cell_angle_beta 117.20
_cell_angle_gamma 29.60
loop_
_atom_site_label
_atom_site_type_symbol
_atom_site_fract_x
_atom_site_fract_y
_atom_site_fract_z
_atom_site_occupancy
Na1 Na 0.1356 0.1356 0.0483 1
Na2 Na 0.8644 0.8644 0.9517 1
Cu1 Cu 0.0616 0.0616 0.4050 1
Cu2 Cu 0.3139 0.3139 0.5927 1
Cu3 Cu 0.4009 0.4009 0.3489 1
Cu4 Cu 0.5991 0.5991 0.6511 1
Cu5 Cu 0.6861 0.6861 0.4073 1
Cu6 Cu 0.9384 0.9384 0.5950 1
S1 S 0.2037 0.2037 0.7131 1
S2 S 0.4915 0.4915 0.7850 1
S3 S 0.5085 0.5085 0.2150 1
S4 S 0.7963 0.7963 0.2869 1
```

Record 2
Entry from the Open Quantum Materials Database: a relaxed structure of Na4Cu3S4 (GGA-PBE).

Calculated values
- uncorrected energy (Ry per atom) = -0.2421

CIF file:
```
data_Na4Cu3S4
_chemical_formula_sum 'Na4 Cu3 S4'
_space_group_name_H-M_alt 'P 1'
_space_group_IT_number 1
_space_group_name_Hall 'P 1'
_cell_length_a 7.6635
_cell_length_b 7.6635
_cell_length_c 5.1014
_cell_angle_alpha 93.53
_cell_angle_beta 93.53
_cell_angle_gamma 132.47
loop_
_atom_site_label
_atom_site_type_symbol
_atom_site_fract_x
_atom_site_fract_y
_atom_site_fract_z
_atom_site_occupancy
Na1 Na 0.0633 0.2704 0.2244 1
Na2 Na 0.2704 0.0633 0.2244 1
Na3 Na 0.7296 0.9367 0.7756 1
Na4 Na 0.9367 0.7296 0.7756 1
Cu1 Cu 0.0000 0.5000 0.5000 1
Cu2 Cu 0.5000 0.0000 0.5000 1
Cu3 Cu 0.5000 0.5000 0.0000 1
S1 S 0.1580 0.3975 0.7433 1
S2 S 0.3975 0.1580 0.7433 1
S3 S 0.6025 0.8420 0.2567 1
S4 S 0.8420 0.6025 0.2567 1
```

Record 3
Entry from the Open Quantum Materials Database: a relaxed structure of NaCuS (GGA-PBE).

Calculated values
- uncorrected energy (Ry per atom) = -0.2751

CIF file:
```
data_NaCuS
_chemical_formula_sum 'Na4 Cu4 S4'
_space_group_name_H-M_alt 'P 1'
_space_group_IT_number 1
_space_group_name_Hall 'P 1'
_cell_length_a 9.5058
_cell_length_b 5.6920
_cell_length_c 5.1113
_cell_angle_alpha 90.00
_cell_angle_beta 90.00
_cell_angle_gamma 90.00
loop_
_atom_site_label
_atom_site_type_symbol
_atom_site_fract_x
_atom_site_fract_y
_atom_site_fract_z
_atom_site_occupancy
Na1 Na 0.1468 0.0223 0.0000 1
Na2 Na 0.3532 0.5223 0.5000 1
Na3 Na 0.6468 0.4777 0.0000 1
Na4 Na 0.8532 0.9777 0.5000 1
Cu1 Cu 0.9998 0.5005 0.2499 1
Cu2 Cu 0.0002 0.4995 0.7499 1
Cu3 Cu 0.4998 0.9995 0.2499 1
Cu4 Cu 0.5002 0.0005 0.7499 1
S1 S 0.1058 0.2518 0.4991 1
S2 S 0.3942 0.7518 0.9991 1
S3 S 0.6058 0.2482 0.4991 1
S4 S 0.8942 0.7482 0.9991 1
```

Record 4
Entry from the Open Quantum Materials Database: a relaxed structure of Na2CuSbS3 (GGA-PBE).

Calculated values
- uncorrected energy (Ry per atom) = -0.2905

CIF file:
```
data_Na2CuSbS3
_chemical_formula_sum 'Na8 Cu4 Sb4 S12'
_space_group_name_H-M_alt 'P 1'
_space_group_IT_number 1
_space_group_name_Hall 'P 1'
_cell_length_a 5.8429
_cell_length_b 17.1500
_cell_length_c 7.0072
_cell_angle_alpha 90.00
_cell_angle_beta 116.95
_cell_angle_gamma 90.00
loop_
_atom_site_label
_atom_site_type_symbol
_atom_site_fract_x
_atom_site_fract_y
_atom_site_fract_z
_atom_site_occupancy
Na1 Na 0.0647 0.1133 0.1180 1
Na2 Na 0.0647 0.3867 0.6180 1
Na3 Na 0.3465 0.0384 0.6907 1
Na4 Na 0.3465 0.4616 0.1907 1
Na5 Na 0.6535 0.5384 0.8093 1
Na6 Na 0.6535 0.9616 0.3093 1
Na7 Na 0.9353 0.6133 0.3820 1
Na8 Na 0.9353 0.8867 0.8820 1
Cu1 Cu 0.3815 0.2123 0.8993 1
Cu2 Cu 0.3815 0.2877 0.3993 1
Cu3 Cu 0.6185 0.7123 0.6007 1
Cu4 Cu 0.6185 0.7877 0.1007 1
Sb1 Sb 0.2462 0.6741 0.0185 1
Sb2 Sb 0.2462 0.8259 0.5185 1
Sb3 Sb 0.7538 0.1741 0.4815 1
Sb4 Sb 0.7538 0.3259 0.9815 1
S1 S 0.1577 0.5566 0.8039 1
S2 S 0.1577 0.9434 0.3039 1
S3 S 0.2093 0.1955 0.5385 1
S4 S 0.2093 0.3045 0.0385 1
S5 S 0.4251 0.6120 0.3736 1
S6 S 0.4251 0.8880 0.8736 1
S7 S 0.5749 0.1120 0.1264 1
S8 S 0.5749 0.3880 0.6264 1
S9 S 0.7907 0.6955 0.9615 1
S10 S 0.7907 0.8045 0.4615 1
S11 S 0.8423 0.0566 0.6961 1
S12 S 0.8423 0.4434 0.1961 1
```

Record 5
Entry from the Open Quantum Materials Database: a relaxed structure of NaCu2SeS (GGA-PBE).

Calculated values
- uncorrected energy (Ry per atom) = -0.2764

CIF file:
```
data_NaCu2SeS
_chemical_formula_sum 'Na1 Cu2 Se1 S1'
_space_group_name_H-M_alt 'P 1'
_space_group_IT_number 1
_space_group_name_Hall 'P 1'
_cell_length_a 3.8794
_cell_length_b 3.8794
_cell_length_c 7.0996
_cell_angle_alpha 90.00
_cell_angle_beta 90.00
_cell_angle_gamma 120.00
loop_
_atom_site_label
_atom_site_type_symbol
_atom_site_fract_x
_atom_site_fract_y
_atom_site_fract_z
_atom_site_occupancy
Na1 Na 0.0000 0.0000 0.0000 1
Cu1 Cu 0.3333 0.6667 0.5847 1
Cu2 Cu 0.6667 0.3333 0.3504 1
Se1 Se 0.6667 0.3333 0.7147 1
S1 S 0.3333 0.6667 0.2555 1
```

Record 6
Entry from the Open Quantum Materials Database: a relaxed structure of NaCuSiSe2S (GGA-PBE).

Calculated values
- uncorrected energy (Ry per atom) = -0.2937

CIF file:
```
data_NaCuSiSe2S
_chemical_formula_sum 'Na2 Cu2 Si2 Se4 S2'
_space_group_name_H-M_alt 'P 1'
_space_group_IT_number 1
_space_group_name_Hall 'P 1'
_cell_length_a 6.8626
_cell_length_b 6.8626
_cell_length_c 9.8811
_cell_angle_alpha 90.00
_cell_angle_beta 90.00
_cell_angle_gamma 149.83
loop_
_atom_site_label
_atom_site_type_symbol
_atom_site_fract_x
_atom_site_fract_y
_atom_site_fract_z
_atom_site_occupancy
Na1 Na 0.2294 0.7706 0.7500 1
Na2 Na 0.7706 0.2294 0.2500 1
Cu1 Cu 0.0620 0.9380 0.2500 1
Cu2 Cu 0.9380 0.0620 0.7500 1
Si1 Si 0.5000 0.5000 0.0000 1
Si2 Si 0.5000 0.5000 0.5000 1
Se1 Se 0.1315 0.8685 0.0283 1
Se2 Se 0.1315 0.8685 0.4717 1
Se3 Se 0.8685 0.1315 0.5283 1
Se4 Se 0.8685 0.1315 0.9717 1
S1 S 0.4517 0.5483 0.2500 1
S2 S 0.5483 0.4517 0.7500 1
```